First-principles (PBE-GGA) data for a relaxed PmZn3Au3 crystal, as listed in the Alexandria database.

## Properties
- Energy of formation from the pure elements: -8 meV/atom
- DOS at the Fermi energy: 0.621 states/eV/atom
- Space-group type: Pm-3n
- Total DFT energy (no corrections): -2.637 eV/atom

Lattice parameters (Å, degrees): 6.9836 6.9836 6.9836 90.00 90.00 90.00
Fractional positions:
Pm1 0.0000 0.0000 0.0000
Pm2 0.5000 0.5000 0.5000
Zn1 0.0000 0.2500 0.5000
Zn2 0.0000 0.7500 0.5000
Zn3 0.2500 0.5000 0.0000
Zn4 0.5000 0.0000 0.2500
Zn5 0.5000 0.0000 0.7500
Zn6 0.7500 0.5000 0.0000
Au1 0.0000 0.5000 0.2500
Au2 0.0000 0.5000 0.7500
Au3 0.2500 0.0000 0.5000
Au4 0.5000 0.2500 0.0000
Au5 0.5000 0.7500 0.0000
Au6 0.7500 0.0000 0.5000



First-principles (PBE-GGA) data for a relaxed PmZn3Au9 crystal, as listed in the Alexandria database.

## Properties
- Energy of formation from the pure elements: -326 meV/atom
- DOS at the Fermi energy: 0.334 states/eV/atom
- Space-group type: C2/m
- Total DFT energy (no corrections): -3.255 eV/atom

Lattice parameters (Å, degrees): 7.2336 7.2336 7.0139 96.79 96.79 136.32
Fractional positions:
Pm1 0.0000 0.0000 0.0000
Zn1 0.0000 0.5000 0.0000
Zn2 0.5000 0.0000 0.0000
Zn3 0.5000 0.5000 0.5000
Au1 0.0000 0.0000 0.5000
Au2 0.0373 0.6834 0.6687
Au3 0.3112 0.5273 0.7876
Au4 0.3166 0.9627 0.3313
Au5 0.4727 0.6888 0.2124
Au6 0.5273 0.3112 0.7876
Au7 0.6834 0.0373 0.6687
Au8 0.6888 0.4727 0.2124
Au9 0.9627 0.3166 0.3313



First-principles (PBE-GGA) data for a relaxed Pm3Zn2Au4 crystal, as listed in the Alexandria database.

## Properties
- Energy of formation from the pure elements: -712 meV/atom
- DOS at the Fermi energy: 0.575 states/eV/atom
- Space-group type: C2/m
- Total DFT energy (no corrections): -4.035 eV/atom

Lattice parameters (Å, degrees): 5.8498 5.8498 8.8812 112.59 112.59 46.83
Fractional positions:
Pm1 0.0000 0.0000 0.0000
Pm2 0.3493 0.3493 0.3160
Pm3 0.6507 0.6507 0.6840
Zn1 0.3551 0.3551 0.6850
Zn2 0.6449 0.6449 0.3150
Au1 0.0788 0.0788 0.4005
Au2 0.2825 0.2825 0.9321
Au3 0.7175 0.7175 0.0679
Au4 0.9212 0.9212 0.5995



Question: Look up the total DFT energy (no corrections) of the third one.
Answer: -4.035 eV/atom